DFT (GGA-PBE) results for crystalline MnTeOs4 at its relaxed geometry.

Lattice parameters (Å, degrees): 5.247 5.247 5.247 60.00 60.00 60.00
Atoms (fractional coordinates):
Os: 0.625 0.124 0.625
Os: 0.625 0.625 0.625
Os: 0.625 0.625 0.124
Os: 0.124 0.625 0.625
Mn: 0.000 0.000 0.000
Te: 0.250 0.250 0.250

Calculated values
The calculation puts the raw formation energy at 507 kJ/mol of formula units. Its space group is No. 216. The electronic total energy comes out at -8.66 eV per atom. Its total magnetization is 3.58 μB per cell. The calculation puts the volume at 17.0 Å³ per atom.

DFT (GGA-PBE) results for crystalline HgHOs2 at its relaxed geometry.

Lattice parameters (Å, degrees): 5.825 5.825 5.248 56.29 56.29 90.00
Atoms (fractional coordinates):
Hg: 0.750 0.250 0.500
Hg: 0.000 0.000 0.000
H: 0.250 0.750 0.500
H: 0.500 0.500 0.000
Os: 0.473 0.125 0.250
Os: 0.875 0.723 0.750
Os: 0.277 0.625 0.250
Os: 0.375 0.527 0.750

Calculated values
The energy relative to the lowest polymorph listed for this composition comes out at 0 meV/atom. Its space group is No. 122. The electronic total energy comes out at -5.54 eV per atom. Its total magnetization is 0.00 μB per cell. The calculation puts the volume at 13.8 Å³ per atom.

DFT (GGA-PBE) results for crystalline Ag5Pd5Au2 at its relaxed geometry.

Lattice parameters (Å, degrees): 4.093 6.383 8.634 72.54 76.29 71.30
Atoms (fractional coordinates):
Pd: 0.000 0.000 0.000
Pd: 0.750 0.247 0.253
Pd: 0.250 0.753 0.747
Pd: 0.831 0.836 0.501
Pd: 0.169 0.164 0.499
Ag: 0.414 0.921 0.252
Ag: 0.666 0.669 0.000
Ag: 0.334 0.331 0.000
Ag: 0.500 0.500 0.500
Ag: 0.586 0.079 0.748
Au: 0.916 0.419 0.748
Au: 0.084 0.581 0.252

Calculated values
Its space group is No. 12. The electronic total energy comes out at -3.96 eV per atom. Its total magnetization is 0.00 μB per cell. The formation energy from the elements comes out at -0.06 eV/atom. The calculation puts the volume at 16.8 Å³ per atom.